# 1
Density functional theory data (PBE) for an optimized crystal structure of Ho2AgPt.

Computed properties:
Calculated formation energy, eV/atom: -0.803

Lattice parameters (Å, degrees): 3.5434 3.5434 7.1227 90.00 90.00 90.00
Fractional coordinates of all 4 atoms:
Ho1 0.0000 0.0000 0.2356
Ho2 0.0000 0.0000 0.7644
Ag1 0.5000 0.5000 0.5000
Pt1 0.5000 0.5000 0.0000

***

# 2
Density functional theory data (PBE) for an optimized crystal structure of Tm6GaTe3S2.

Computed properties:
Energy relative to the elements, uncorrected, kJ/mol of formula units: -1599

Lattice parameters (Å, degrees): 7.0465 7.0465 7.3450 99.19 99.19 119.89
Fractional coordinates of all 12 atoms:
Tm1 0.0961 0.4296 0.7881
Tm2 0.2369 0.2369 0.2110
Tm3 0.4296 0.0961 0.7881
Tm4 0.5704 0.9039 0.2119
Tm5 0.7631 0.7631 0.7890
Tm6 0.9039 0.5704 0.2119
Ga1 0.5000 0.5000 0.0000
Te1 0.0000 0.0000 0.5000
Te2 0.3331 0.6669 0.5000
Te3 0.6669 0.3331 0.5000
S1 0.1666 0.8334 0.0000
S2 0.8334 0.1666 0.0000

***

# 3
Density functional theory data (PBE) for an optimized crystal structure of Pa4ReTe2As.

Computed properties:
Energy relative to the elements, uncorrected, kJ/mol of formula units: -479

Lattice parameters (Å, degrees): 7.2930 4.0722 7.5185 90.00 107.72 90.00
Fractional coordinates of all 8 atoms:
Pa1 0.2231 0.0000 0.2077
Pa2 0.2489 0.5000 0.7844
Pa3 0.7511 0.5000 0.2156
Pa4 0.7769 0.0000 0.7923
Re1 0.0000 0.5000 0.0000
Te1 0.0000 0.0000 0.5000
Te2 0.5000 0.5000 0.5000
As1 0.5000 0.0000 0.0000

***

We obtain DOS at the Fermi energy values of 0.71 0.41 1.47 states/eV/atom for the records listed above, in that order.